Computed, not measured: Sc8TcAg2 after structural relaxation at the GGA-PBE level of DFT.

Energy of formation (eV per formula unit): -2.045
Uncorrected energy (eV per atom): -6.244
Space group: C2/m (12)
ρ (g cm⁻³): 4.7

```
data_Sc8TcAg2
_cell_length_a 8.3297
_cell_length_b 8.3297
_cell_length_c 6.4687
_cell_angle_alpha 108.27
_cell_angle_beta 108.27
_cell_angle_gamma 34.15
_space_group_name_H-M_alt 'P 1'
_space_group_IT_number 1
loop_
_space_group_symop_operation_xyz
'x,y,z'
loop_
_atom_site_label
_atom_site_fract_x
_atom_site_fract_y
_atom_site_fract_z
_atom_site_occupancy
Ag1 0.8163 0.8163 0.3039 1
Ag2 0.1837 0.1837 0.6961 1
Sc1 0.3403 0.3403 0.0444 1
Sc2 0.9750 0.9750 0.2074 1
Sc3 0.1911 0.1911 0.2798 1
Sc4 0.5950 0.5950 0.4315 1
Sc5 0.4050 0.4050 0.5685 1
Sc6 0.8089 0.8089 0.7202 1
Sc7 0.0250 0.0250 0.7926 1
Sc8 0.6597 0.6597 0.9556 1
Tc1 0.5000 0.5000 0.0000 1
```

***

Computed, not measured: LuCuOsW after structural relaxation at the GGA-PBE level of DFT.

Energy of formation (eV per formula unit): 0.392
Uncorrected energy (eV per atom): -8.009
Space group: F-43m (216)
E above lowest polymorph (meV/atom): 0.0
ρ (g cm⁻³): 15.5

```
data_LuCuOsW
_cell_length_a 4.5306
_cell_length_b 4.5306
_cell_length_c 4.5306
_cell_angle_alpha 60.00
_cell_angle_beta 60.00
_cell_angle_gamma 60.00
_space_group_name_H-M_alt 'P 1'
_space_group_IT_number 1
loop_
_space_group_symop_operation_xyz
'x,y,z'
loop_
_atom_site_label
_atom_site_fract_x
_atom_site_fract_y
_atom_site_fract_z
_atom_site_occupancy
Cu1 0.7500 0.7500 0.7500 1
Lu1 0.0000 0.0000 0.0000 1
Os1 0.2500 0.2500 0.2500 1
W1 0.5000 0.5000 0.5000 1
```

***

Computed, not measured: Lu2SiHg after structural relaxation at the GGA-PBE level of DFT.

Uncorrected energy (eV per atom): -3.528
Space group: F-43m (216)
ρ (g cm⁻³): 10.4

```
data_Lu2SiHg
_cell_length_a 5.0795
_cell_length_b 5.0795
_cell_length_c 5.0795
_cell_angle_alpha 60.00
_cell_angle_beta 60.00
_cell_angle_gamma 60.00
_space_group_name_H-M_alt 'P 1'
_space_group_IT_number 1
loop_
_space_group_symop_operation_xyz
'x,y,z'
loop_
_atom_site_label
_atom_site_fract_x
_atom_site_fract_y
_atom_site_fract_z
_atom_site_occupancy
Hg1 0.2500 0.2500 0.2500 1
Lu1 0.0000 0.0000 0.0000 1
Lu2 0.7500 0.7500 0.7500 1
Si1 0.5000 0.5000 0.5000 1
```